1.
{
  "formula": "Ac3Pm2PaN6",
  "functional": "PBE",
  "state": "optimized geometry",
  "lattice": [[6.406, 0.004, 0.002], [-3.198, 5.550, 0.002], [-1.067, -1.848, 6.172]],
  "species": ["N", "Pa", "Pm", "Ac", "Pm", "N", "Ac", "Ac", "N", "N", "N", "N"],
  "frac_coords": [[0.622, 0.928, 0.785], [0.000, 0.000, 0.000], [0.333, 0.667, 0.000], [0.831, 0.169, 0.500], [0.667, 0.333, 0.000], [0.928, 0.622, 0.785], [0.169, 0.831, 0.500], [0.500, 0.500, 0.500], [0.765, 0.765, 0.222], [0.072, 0.378, 0.215], [0.235, 0.235, 0.778], [0.378, 0.072, 0.215]],
  "m_tot_mub_per_cell": 0.00,
  "sg": "C2/m",
  "energy_ev_per_cell": -97.282
}


2.
{
  "formula": "Ac2PmPaN4",
  "functional": "PBE",
  "state": "optimized geometry",
  "lattice": [[3.688, 0.000, 0.000], [0.000, 6.331, 0.113], [0.000, -2.213, 6.160]],
  "species": ["N", "Pa", "Pm", "N", "N", "N", "Ac", "Ac"],
  "frac_coords": [[0.500, 0.784, 0.798], [0.000, 0.000, 0.000], [0.500, 0.500, 0.000], [0.000, 0.763, 0.210], [0.500, 0.216, 0.202], [0.000, 0.237, 0.790], [0.500, 0.000, 0.500], [0.000, 0.500, 0.500]],
  "m_tot_mub_per_cell": 0.00,
  "sg": "P2/m",
  "energy_ev_per_cell": -66.594
}


3.
{
  "formula": "Ac2PmPaN5",
  "functional": "PBE",
  "state": "optimized geometry",
  "lattice": [[4.246, 0.000, 0.000], [0.000, 4.246, 0.000], [0.000, 0.000, 9.324]],
  "species": ["N", "N", "N", "N", "Pa", "N", "Ac", "Pm", "Ac"],
  "frac_coords": [[0.500, 0.500, 0.000], [0.000, 0.000, 0.249], [0.000, 0.000, 0.751], [0.000, 0.500, 0.500], [0.000, 0.000, 0.500], [0.500, 0.000, 0.500], [0.500, 0.500, 0.274], [0.000, 0.000, 0.000], [0.500, 0.500, 0.726]],
  "m_tot_mub_per_cell": 0.16,
  "sg": "P4/mmm",
  "energy_ev_per_cell": -74.233
}